First-principles (PBE-GGA) data for an optimized crystal structure of CuPt3O, as listed in Alexandria via LeMat-Bulk.

Properties
The value obtained for the uncorrected formation energy is 1.712 eV/atom. The value obtained for the energy relative to the lowest polymorph listed for this composition is 1161 meV/atom. The value obtained for the total moment is 0.0 μB per formula unit.

abc: 4.5658 4.5658 4.5658
angles: 90.00 90.00 90.00
Fractional positions:
Pt 0.0000 0.5000 0.0000
Pt 0.5000 0.0000 0.0000
Cu 0.0000 0.0000 0.0000
Pt 0.0000 0.0000 0.5000
O 0.5000 0.5000 0.5000